1.
! GGA-PBE MnRu2W, optimized geometry; values from VASP
! VASP energy: -10.117 eV/atom
! ΔH_f (0 K): 0.052 eV/atom
! Relative energy among the computed polymorphs: 0.048 eV/atom
&SYSTEM
  ibrav = 0, nat = 4, ntyp = 3
/
ATOMIC_SPECIES
W 183.84 W.upf
Ru 101.07 Ru.upf
Mn 54.94 Mn.upf
ATOMIC_POSITIONS crystal
W 0.500 0.500 0.250
Ru 0.000 0.000 0.996
Ru 0.000 0.000 0.504
Mn 0.500 0.500 0.750
CELL_PARAMETERS angstrom
-2.027 1.850 1.472
-0.075 -1.989 2.395
4.556 2.937 2.582

2.
! GGA-PBE MnRuW2, optimized geometry; values from VASP
! VASP energy: -10.886 eV/atom
! ΔH_f (0 K): 0.202 eV/atom
! Relative energy among the computed polymorphs: 0.111 eV/atom
&SYSTEM
  ibrav = 0, nat = 4, ntyp = 3
/
ATOMIC_SPECIES
W 183.84 W.upf
Ru 101.07 Ru.upf
Mn 54.94 Mn.upf
ATOMIC_POSITIONS crystal
W 0.250 0.750 0.500
W 0.000 0.000 0.000
Ru 0.750 0.250 0.500
Mn 0.500 0.500 0.000
CELL_PARAMETERS angstrom
-0.340 -3.461 3.339
4.134 -2.433 0.479
-1.087 4.697 -0.013

3.
! GGA-PBE MnRu2W, optimized geometry; values from VASP
! VASP energy: -10.067 eV/atom
! ΔH_f (0 K): 0.101 eV/atom
! Relative energy among the computed polymorphs: 0.098 eV/atom
&SYSTEM
  ibrav = 0, nat = 4, ntyp = 3
/
ATOMIC_SPECIES
Ru 101.07 Ru.upf
W 183.84 W.upf
Mn 54.94 Mn.upf
ATOMIC_POSITIONS crystal
Ru 0.505 0.505 0.483
Ru 0.995 0.995 0.017
W 0.750 0.750 0.750
Mn 0.250 0.250 0.250
CELL_PARAMETERS angstrom
4.619 -0.008 0.003
3.820 2.596 0.003
0.779 0.239 4.653